(1)
K9Sm3Si12O32F2: relaxed, PBE.

Properties
Symmetry = P-1 (2)
E_tot = -412.8 eV/cell

Cell: 6.8461 11.3253 11.4454 Å, 87.31 89.63 80.25°
Last column: nearest neighbours and their distance in Å.
Fractional coordinates of all 58 atoms:
F  0.2481  0.8455  0.9953  4 K 2.52-2.66
O  0.6922  0.8410  0.1795  2 Si 1.65
O  0.8122  0.4119  0.3110  1 Si 1.60
O  0.1574  0.4796  0.3525  1 Si 1.61
O  0.7160  0.6819  0.0251  2 Si 1.61-1.62
K  0.8341  0.1916  0.2165  1 F 2.56, 3 O 2.69-2.80
O  0.2805  0.2051  0.1788  2 Si 1.64-1.65
O  0.8943  0.6264  0.2262  2 Si 1.66-1.67
O  0.4943  0.2119  0.3732  2 Si 1.66-1.69
O  0.5101  0.3452  0.7857  1 Si 1.60
Si  0.3438  0.0865  0.6982  4 O 1.59-1.65
Si  0.6861  0.6977  0.1642  4 O 1.60-1.66
F  0.7519  0.1545  0.0047  4 K 2.52-2.66
K  0.8407  0.1470  0.7910  1 F 2.52, 2 O 2.75-2.81
O  0.0634  0.4223  0.1344  2 Si 1.66-1.67
O  0.4607  0.4013  0.1524  1 Si 1.60
Sm  0.5143  0.5154  0.6654  6 O 2.27-2.38
K  0.7382  0.3818  0.9801  1 F 2.56, 2 O 2.72-2.81
K  0.9882  0.6708  0.4841  6 O 2.74-2.86
Si  0.9811  0.4823  0.2598  4 O 1.60-1.67
O  0.4481  0.0065  0.2759  2 Si 1.64-1.65
O  0.1581  0.0242  0.6733  1 Si 1.59
O  0.3078  0.1590  0.8206  2 Si 1.65
O  0.2840  0.3181  0.9749  2 Si 1.61-1.62
O  0.5057  0.7881  0.6268  2 Si 1.66-1.69
O  0.9366  0.5777  0.8656  2 Si 1.66-1.67
O  0.3754  0.1842  0.5925  2 Si 1.64-1.65
Si  0.6562  0.9135  0.3018  4 O 1.59-1.65
O  0.1878  0.5881  0.6890  1 Si 1.60
K  0.1593  0.8530  0.2090  1 F 2.52, 2 O 2.75-2.81
Si  0.5515  0.2321  0.5131  4 O 1.60-1.69
O  0.7195  0.7949  0.8212  2 Si 1.64-1.65
Si  0.6660  0.8592  0.6901  4 O 1.58-1.66
O  0.2324  0.8375  0.4512  1 Si 1.60
Si  0.7172  0.6629  0.8862  4 O 1.60-1.66
O  0.5283  0.3764  0.5190  1 Si 1.62
O  0.8620  0.8644  0.6172  1 Si 1.58
O  0.5519  0.9935  0.7241  2 Si 1.64-1.65
O  0.4899  0.6548  0.2143  1 Si 1.60
K  0.1659  0.8084  0.7835  1 F 2.56, 3 O 2.69-2.80
Si  0.3139  0.3023  0.8358  4 O 1.60-1.66
K  0.0118  0.3292  0.5159  6 O 2.74-2.86
Sm  0.0000  0.0000  0.5000  6 O 2.31-2.32
O  0.6246  0.8158  0.4075  2 Si 1.64-1.65
O  0.8426  0.5204  0.6475  1 Si 1.61
Si  0.0189  0.5177  0.7402  4 O 1.60-1.67
Si  0.4485  0.7679  0.4869  4 O 1.60-1.69
K  0.5000  0.0000  0.0000  2 F 2.66, 2 O 2.84
O  0.1380  0.1356  0.3828  1 Si 1.58
Sm  0.4857  0.4846  0.3346  6 O 2.27-2.38
O  0.5393  0.5987  0.8476  1 Si 1.60
K  0.2618  0.6182  0.0199  1 F 2.56, 2 O 2.72-2.81
Si  0.3340  0.1408  0.3099  4 O 1.58-1.66
O  0.7676  0.1625  0.5488  1 Si 1.60
Si  0.2828  0.3371  0.1138  4 O 1.60-1.66
O  0.4717  0.6236  0.4810  1 Si 1.62
O  0.1057  0.3736  0.7738  2 Si 1.66-1.67
O  0.8419  0.9758  0.3267  1 Si 1.59



(2)
Sm2TaC2: relaxed, PBE.

Properties
Symmetry = Pnma (62)
E_tot = -163.2 eV/cell

Cell: 6.8081 5.3170 10.3926 Å, 90.00 90.00 90.00°
Last column: nearest neighbours and their distance in Å.
Fractional coordinates of all 20 atoms:
Sm  0.9450  0.2500  0.2749  4 C 2.55-2.81
Sm  0.0550  0.7500  0.7251  4 C 2.55-2.81
Ta  0.7016  0.7500  0.1279  3 C 2.04-2.20
C  0.0684  0.2500  0.7437  2 Ta 2.06-2.20
C  0.4316  0.7500  0.2437  2 Ta 2.06-2.20
Sm  0.8251  0.2500  0.9407  5 C 2.59-2.67
C  0.8209  0.7500  0.9483  1 Ta 2.04
Ta  0.2016  0.7500  0.3721  3 C 2.04-2.20
Sm  0.4450  0.2500  0.2251  4 C 2.55-2.81
C  0.1791  0.2500  0.0517  1 Ta 2.04
Ta  0.7984  0.2500  0.6279  3 C 2.04-2.20
Ta  0.2984  0.2500  0.8721  3 C 2.04-2.20
Sm  0.3251  0.2500  0.5593  5 C 2.59-2.67
C  0.3209  0.7500  0.5517  1 Ta 2.04
Sm  0.1749  0.7500  0.0593  5 C 2.59-2.67
C  0.9316  0.7500  0.2563  2 Ta 2.06-2.20
C  0.5684  0.2500  0.7563  2 Ta 2.06-2.20
C  0.6791  0.2500  0.4483  1 Ta 2.04
Sm  0.6749  0.7500  0.4407  5 C 2.59-2.67
Sm  0.5550  0.7500  0.7749  4 C 2.55-2.81



(3)
ZrFeCo: relaxed, PBE.

Properties
Formation energy = -19 kJ/mol of atoms
Symmetry = Pnma (62)
E_tot = -98.3 eV/cell

Cell: 6.4986 3.7588 7.2953 Å, 90.00 90.00 90.00°
Last column: nearest neighbours and their distance in Å.
Fractional coordinates of all 12 atoms:
Co  0.2208  0.7500  0.3943  4 Fe 2.32-2.52
Co  0.7208  0.7500  0.1057  4 Fe 2.32-2.52
Zr  0.9808  0.7500  0.8136  5 Co 2.72-2.76, 6 Fe 2.81-3.04
Fe  0.1493  0.2500  0.5694  4 Co 2.32-2.52
Fe  0.8507  0.7500  0.4306  4 Co 2.32-2.52
Fe  0.3507  0.7500  0.0694  4 Co 2.32-2.52
Zr  0.0192  0.2500  0.1864  5 Co 2.72-2.76, 6 Fe 2.81-3.04
Fe  0.6493  0.2500  0.9306  4 Co 2.32-2.52
Zr  0.4808  0.7500  0.6864  5 Co 2.72-2.76, 6 Fe 2.81-3.04
Zr  0.5192  0.2500  0.3136  5 Co 2.72-2.76, 6 Fe 2.81-3.04
Co  0.7792  0.2500  0.6057  4 Fe 2.32-2.52
Co  0.2792  0.2500  0.8943  4 Fe 2.32-2.52



(4)
Zr2HCCl: relaxed, PBE.

Properties
Symmetry = P3m1 (156)
E_tot = -36.6 eV/cell

Cell: 3.3750 3.3750 9.0185 Å, 90.00 90.00 120.00°
Last column: nearest neighbours and their distance in Å.
Fractional coordinates of all 5 atoms:
Cl  0.3333  0.6667  0.8193  3 Zr 2.66
C  0.0000  0.0000  0.4839  6 Zr 2.29-2.32
Zr  0.6667  0.3333  0.6182  3 C 2.29
H  0.6667  0.3333  0.2340  3 Zr 2.19
Zr  0.3333  0.6667  0.3445  3 H 2.19, 3 C 2.32



(5)
LiW6CCl18: relaxed, PBE.

Properties
Symmetry = P2_1/m (11)
E_tot = -289.5 eV/cell

Cell: 9.2209 17.4461 9.2408 Å, 90.00 119.51 90.00°
Last column: nearest neighbours and their distance in Å.
Fractional coordinates of all 52 atoms:
Cl  0.9717  0.2500  0.9165  2 W 2.46
Cl  0.9822  0.5785  0.8785  2 W 2.40
Cl  0.7464  0.4030  0.7267  1 W 2.45
Cl  0.2747  0.4018  0.5201  1 W 2.45
Cl  0.5970  0.4234  0.9774  2 W 2.39
C  0.1625  0.7500  0.8332  6 W 2.15-2.17
Cl  0.7253  0.9018  0.4799  1 W 2.45
Cl  0.9208  0.7500  0.4427  2 W 2.44
Li  0.5000  0.5000  0.5000  6 Cl 2.75-2.78
Cl  0.5497  0.7500  0.9669  2 W 2.45
C  0.8375  0.2500  0.1668  6 W 2.15-2.17
W  0.2080  0.6668  0.0237  1 C 2.16, 2 Cl 2.39-2.40
Cl  0.0792  0.2500  0.5573  2 W 2.44
W  0.9762  0.8324  0.6785  1 C 2.15, 2 Cl 2.40
W  0.7920  0.1668  0.9763  1 C 2.16, 2 Cl 2.39-2.40
W  0.0238  0.3324  0.3215  1 C 2.15, 2 Cl 2.40
W  0.6861  0.3348  0.2028  1 C 2.17, 2 Cl 2.38-2.39
W  0.2080  0.8332  0.0237  1 C 2.16, 2 Cl 2.39-2.40
Cl  0.5684  0.2500  0.7830  2 W 2.43
Cl  0.7099  0.2500  0.4244  2 W 2.45
Cl  0.8792  0.0765  0.3995  2 W 2.38-2.40
W  0.3139  0.6652  0.7972  1 C 2.17, 2 Cl 2.38-2.39
Cl  0.7253  0.5982  0.4799  1 W 2.45
Cl  0.2536  0.9030  0.2733  1 W 2.45
Cl  0.2901  0.7500  0.5756  2 W 2.45
Cl  0.4503  0.2500  0.0331  2 W 2.45
Li  0.5000  0.0000  0.5000  6 Cl 2.75-2.78
Cl  0.4316  0.7500  0.2171  2 W 2.43
W  0.7920  0.3332  0.9763  1 C 2.16, 2 Cl 2.39-2.40
Cl  0.4030  0.5766  0.0226  2 W 2.39
Cl  0.4831  0.4041  0.2556  1 W 2.47, 1 Li 2.75
W  0.9762  0.6676  0.6785  1 C 2.15, 2 Cl 2.40
Cl  0.0178  0.0785  0.1215  2 W 2.40
Cl  0.1208  0.5765  0.6005  2 W 2.38-2.40
Cl  0.5169  0.5959  0.7444  1 W 2.47, 1 Li 2.75
Cl  0.2536  0.5970  0.2733  1 W 2.45
W  0.3139  0.8348  0.7972  1 C 2.17, 2 Cl 2.38-2.39
Cl  0.2183  0.2500  0.2853  2 W 2.45
Cl  0.7817  0.7500  0.7147  2 W 2.45
Cl  0.1208  0.9235  0.6005  2 W 2.38-2.40
W  0.6861  0.1652  0.2028  1 C 2.17, 2 Cl 2.38-2.39
Cl  0.9822  0.9215  0.8785  2 W 2.40
Cl  0.4030  0.9234  0.0226  2 W 2.39
Cl  0.5970  0.0766  0.9774  2 W 2.39
Cl  0.0283  0.7500  0.0835  2 W 2.46
Cl  0.4831  0.0959  0.2556  1 W 2.47, 1 Li 2.75
Cl  0.7464  0.0970  0.7267  1 W 2.45
Cl  0.0178  0.4215  0.1215  2 W 2.40
Cl  0.2747  0.0982  0.5201  1 W 2.45
W  0.0238  0.1676  0.3215  1 C 2.15, 2 Cl 2.40
Cl  0.5169  0.9041  0.7444  1 W 2.47, 1 Li 2.75
Cl  0.8792  0.4235  0.3995  2 W 2.38-2.40



(6)
SrGdIn: relaxed, PBE.

Properties
Symmetry = F-43m (216)
E_tot = -8.4 eV/cell

Cell: 5.3428 5.3428 5.3428 Å, 60.00 60.00 60.00°
Last column: nearest neighbours and their distance in Å.
Fractional coordinates of all 3 atoms:
In  0.2500  0.2500  0.2500  4 Gd 3.27
Sr  0.7500  0.7500  0.7500  4 Gd 3.27
Gd  0.0000  0.0000  0.0000  4 In 3.27, 4 Sr 3.27



What is the E_tot in the fifth record?
-289.5 eV/cell



Which of these has the highest E_tot?
SrGdIn



Which of these has the highest E_tot?
SrGdIn



Among the records above, which one has the lowest E_tot?
K9Sm3Si12O32F2